[1]
VASP calculation (PBE-GGA) on a relaxed structure of AlSiF2.

VASP energy (eV/atom): -4.530

```
data_AlSiF2
_chemical_formula_sum 'Al2 Si2 F4'
_cell_length_a 5.731
_cell_length_b 5.731
_cell_length_c 5.731
_cell_angle_alpha 60.00
_cell_angle_beta 60.00
_cell_angle_gamma 60.00
_symmetry_space_group_name_H-M 'P 1'
_symmetry_Int_Tables_number 1
_symmetry_space_group_name_Hall 'P 1'
loop_
_atom_site_label
_atom_site_fract_x
_atom_site_fract_y
_atom_site_fract_z
Al1 0.000 0.000 0.000
Si1 0.500 0.500 0.500
F1 0.125 0.125 0.125
Si2 0.750 0.750 0.750
F2 0.125 0.625 0.125
Al2 0.250 0.250 0.250
F3 0.625 0.125 0.125
F4 0.125 0.125 0.625
```


[2]
VASP calculation (PBE-GGA) on a relaxed structure of Co2RePt.

Energy of formation (kJ/mol of formula units): 9

```
data_Co2RePt
_chemical_formula_sum 'Co2 Re1 Pt1'
_cell_length_a 4.591
_cell_length_b 4.591
_cell_length_c 4.521
_cell_angle_alpha 80.04
_cell_angle_beta 80.04
_cell_angle_gamma 33.73
_symmetry_space_group_name_H-M 'P 1'
_symmetry_Int_Tables_number 1
_symmetry_space_group_name_Hall 'P 1'
loop_
_atom_site_label
_atom_site_fract_x
_atom_site_fract_y
_atom_site_fract_z
Pt1 0.499 0.499 0.504
Re1 0.254 0.254 0.235
Co1 0.003 0.003 0.998
Co2 0.745 0.745 0.763
```


[3]
VASP calculation (PBE-GGA) on a relaxed structure of TiTl2Pb.

Energy of formation (kJ/mol of formula units): 148

```
data_TiTl2Pb
_chemical_formula_sum 'Ti2 Tl4 Pb2'
_cell_length_a 8.494
_cell_length_b 8.494
_cell_length_c 6.715
_cell_angle_alpha 50.77
_cell_angle_beta 50.77
_cell_angle_gamma 90.00
_symmetry_space_group_name_H-M 'P 1'
_symmetry_Int_Tables_number 1
_symmetry_space_group_name_Hall 'P 1'
loop_
_atom_site_label
_atom_site_fract_x
_atom_site_fract_y
_atom_site_fract_z
Tl1 0.875 0.836 0.750
Tl2 0.586 0.125 0.250
Ti1 0.500 0.500 0.000
Ti2 0.250 0.750 0.500
Tl3 0.164 0.625 0.250
Pb1 0.000 0.000 0.000
Tl4 0.375 0.414 0.750
Pb2 0.750 0.250 0.500
```


[4]
VASP calculation (PBE-GGA) on a relaxed structure of BeTlGe2N.

VASP energy (eV/atom): -3.461

```
data_BeTlGe2N
_chemical_formula_sum 'Be1 Tl1 Ge2 N1'
_cell_length_a 4.374
_cell_length_b 4.840
_cell_length_c 4.374
_cell_angle_alpha 90.00
_cell_angle_beta 90.00
_cell_angle_gamma 90.00
_symmetry_space_group_name_H-M 'P 1'
_symmetry_Int_Tables_number 1
_symmetry_space_group_name_Hall 'P 1'
loop_
_atom_site_label
_atom_site_fract_x
_atom_site_fract_y
_atom_site_fract_z
Ge1 0.000 0.000 0.500
Be1 0.000 0.000 0.000
Tl1 0.000 0.500 0.000
Ge2 0.500 0.000 0.000
N1 0.500 0.500 0.500
```


[5]
VASP calculation (PBE-GGA) on a relaxed structure of KLaSn2Br8.

VASP energy (eV/atom): -3.604

```
data_KLaSn2Br8
_chemical_formula_sum 'K1 La1 Sn2 Br8'
_cell_length_a 7.293
_cell_length_b 6.944
_cell_length_c 9.196
_cell_angle_alpha 89.99
_cell_angle_beta 90.02
_cell_angle_gamma 88.99
_symmetry_space_group_name_H-M 'P 1'
_symmetry_Int_Tables_number 1
_symmetry_space_group_name_Hall 'P 1'
loop_
_atom_site_label
_atom_site_fract_x
_atom_site_fract_y
_atom_site_fract_z
Br1 0.364 0.276 0.500
Br2 0.839 0.247 0.770
Br3 0.671 0.751 0.000
La1 0.000 0.000 0.000
Br4 0.838 0.247 0.229
Sn1 0.500 0.500 0.744
K1 0.000 0.000 0.500
Sn2 0.500 0.500 0.256
Br5 0.329 0.249 0.000
Br6 0.161 0.753 0.230
Br7 0.636 0.724 0.500
Br8 0.162 0.753 0.771
```


[6]
VASP calculation (PBE-GGA) on a relaxed structure of Sc6PSe2S3.

VASP energy (eV/atom): -6.980

```
data_Sc6PSe2S3
_chemical_formula_sum 'Sc6 P1 Se2 S3'
_cell_length_a 6.535
_cell_length_b 6.535
_cell_length_c 6.507
_cell_angle_alpha 99.57
_cell_angle_beta 99.57
_cell_angle_gamma 120.13
_symmetry_space_group_name_H-M 'P 1'
_symmetry_Int_Tables_number 1
_symmetry_space_group_name_Hall 'P 1'
loop_
_atom_site_label
_atom_site_fract_x
_atom_site_fract_y
_atom_site_fract_z
Sc1 0.087 0.399 0.261
Sc2 0.399 0.087 0.261
Sc3 0.224 0.224 0.738
S1 0.500 0.500 0.500
Sc4 0.913 0.601 0.739
Sc5 0.601 0.913 0.739
S2 0.173 0.827 0.500
Se1 0.666 0.334 0.000
Sc6 0.776 0.776 0.262
P1 0.000 0.000 0.000
S3 0.827 0.173 0.500
Se2 0.334 0.666 0.000
```


[7]
VASP calculation (PBE-GGA) on a relaxed structure of KZn2Si.

VASP energy (eV/atom): -1.801

```
data_KZn2Si
_chemical_formula_sum 'K1 Zn2 Si1'
_cell_length_a 4.917
_cell_length_b 4.917
_cell_length_c 4.917
_cell_angle_alpha 120.57
_cell_angle_beta 120.57
_cell_angle_gamma 89.01
_symmetry_space_group_name_H-M 'P 1'
_symmetry_Int_Tables_number 1
_symmetry_space_group_name_Hall 'P 1'
loop_
_atom_site_label
_atom_site_fract_x
_atom_site_fract_y
_atom_site_fract_z
Zn1 0.000 0.000 0.000
Si1 0.750 0.250 0.500
Zn2 0.250 0.750 0.500
K1 0.500 0.500 0.000
```


[8]
VASP calculation (PBE-GGA) on a relaxed structure of CsI2NF.

VASP energy (eV/atom): -1.943

```
data_CsI2NF
_chemical_formula_sum 'Cs1 I2 N1 F1'
_cell_length_a 8.533
_cell_length_b 8.533
_cell_length_c 7.149
_cell_angle_alpha 90.00
_cell_angle_beta 90.00
_cell_angle_gamma 90.00
_symmetry_space_group_name_H-M 'P 1'
_symmetry_Int_Tables_number 1
_symmetry_space_group_name_Hall 'P 1'
loop_
_atom_site_label
_atom_site_fract_x
_atom_site_fract_y
_atom_site_fract_z
N1 0.000 0.000 0.500
I1 0.000 0.500 0.000
F1 0.500 0.500 0.500
I2 0.500 0.000 0.000
Cs1 0.000 0.000 0.000
```


Number 1: total magnetic moment 0.0 μB per formula unit. Number 2: total magnetic moment 2.2 μB per formula unit. Number 3: total magnetic moment 0.1 μB per formula unit. Number 4: total magnetic moment 0.3 μB per formula unit. Number 5: total magnetic moment 0.0 μB per formula unit. Number 6: total magnetic moment 0.0 μB per formula unit. Number 7: total magnetic moment 0.0 μB per formula unit. Number 8: total magnetic moment 4.4 μB per formula unit.